Below is a relaxed YNiRu2 crystal, with properties calculated at the PBE level.

Values from the calculation:
SG: Immm (71)
E_form: 11.7 kJ/mol of atoms
density of states at the Fermi level: 5.8 states/eV/cell
V: 16.06 Å³/atom
theoretical density: 9.04 g cm⁻³
M_tot: 0.000 μB per formula unit
E above lowest polymorph: 73 meV per atom

a b c (Å): 5.5527 5.5527 5.5527
angles (deg): 149.16 132.50 57.71
Closest atoms and distances in Å follow each position.
Positions (direct):
Y (0.0000, 0.0000, 0.0000)  4 Ni 2.68, 2 Y 2.95
Ni (0.5000, 0.5000, 0.0000)  4 Ru 2.57, 4 Y 2.68
Ru (0.2831, 0.7831, 0.5000)  2 Ni 2.57, 4 Ru 2.76
Ru (0.7169, 0.2169, 0.5000)  2 Ni 2.57, 4 Ru 2.76

Below is a relaxed Y8NiRu2 crystal, with properties calculated at the PBE level.

Values from the calculation:
SG: Cm (8)
E_form: -16.6 kJ/mol of atoms
density of states at the Fermi level: 11.2 states/eV/cell
V: 26.95 Å³/atom
theoretical density: 5.45 g cm⁻³
M_tot: 0.000 μB per formula unit

a b c (Å): 7.5287 7.5287 5.9990
angles (deg): 100.73 100.73 112.33
Closest atoms and distances in Å follow each position.
Positions (direct):
Y (0.0000, 0.0000, 0.0000)  2 Ru 2.98, 1 Ni 3.04
Y (0.0127, 0.2766, 0.5935)  2 Ru 2.79-2.80, 1 Ni 3.07
Y (0.1533, 0.5701, 0.1887)  1 Ni 2.81
Y (0.2766, 0.0127, 0.5935)  2 Ru 2.79-2.80, 1 Ni 3.07
Y (0.4346, 0.6967, 0.7994)  2 Ru 2.78-2.80, 1 Ni 2.94
Y (0.5701, 0.1533, 0.1887)  1 Ni 2.81
Y (0.6967, 0.4346, 0.7994)  2 Ru 2.78-2.80, 1 Ni 2.94
Y (0.7217, 0.7217, 0.3841)  2 Ru 2.99, 1 Ni 3.06
Ni (0.3661, 0.3661, 0.0158)  8 Y 2.81-3.07
Ru (0.0435, 0.6655, 0.6976)  6 Y 2.78-2.99
Ru (0.6655, 0.0435, 0.6976)  6 Y 2.78-2.99

Please write out number 1 again, unchanged.
Below is a relaxed YNiRu2 crystal, with properties calculated at the PBE level.

Values from the calculation:
SG: Immm (71)
E_form: 11.7 kJ/mol of atoms
density of states at the Fermi level: 5.8 states/eV/cell
V: 16.06 Å³/atom
theoretical density: 9.04 g cm⁻³
M_tot: 0.000 μB per formula unit
E above lowest polymorph: 73 meV per atom

a b c (Å): 5.5527 5.5527 5.5527
angles (deg): 149.16 132.50 57.71
Closest atoms and distances in Å follow each position.
Positions (direct):
Y (0.0000, 0.0000, 0.0000)  4 Ni 2.68, 2 Y 2.95
Ni (0.5000, 0.5000, 0.0000)  4 Ru 2.57, 4 Y 2.68
Ru (0.2831, 0.7831, 0.5000)  2 Ni 2.57, 4 Ru 2.76
Ru (0.7169, 0.2169, 0.5000)  2 Ni 2.57, 4 Ru 2.76

Copy entry 2 word for word.
Below is a relaxed Y8NiRu2 crystal, with properties calculated at the PBE level.

Values from the calculation:
SG: Cm (8)
E_form: -16.6 kJ/mol of atoms
density of states at the Fermi level: 11.2 states/eV/cell
V: 26.95 Å³/atom
theoretical density: 5.45 g cm⁻³
M_tot: 0.000 μB per formula unit

a b c (Å): 7.5287 7.5287 5.9990
angles (deg): 100.73 100.73 112.33
Closest atoms and distances in Å follow each position.
Positions (direct):
Y (0.0000, 0.0000, 0.0000)  2 Ru 2.98, 1 Ni 3.04
Y (0.0127, 0.2766, 0.5935)  2 Ru 2.79-2.80, 1 Ni 3.07
Y (0.1533, 0.5701, 0.1887)  1 Ni 2.81
Y (0.2766, 0.0127, 0.5935)  2 Ru 2.79-2.80, 1 Ni 3.07
Y (0.4346, 0.6967, 0.7994)  2 Ru 2.78-2.80, 1 Ni 2.94
Y (0.5701, 0.1533, 0.1887)  1 Ni 2.81
Y (0.6967, 0.4346, 0.7994)  2 Ru 2.78-2.80, 1 Ni 2.94
Y (0.7217, 0.7217, 0.3841)  2 Ru 2.99, 1 Ni 3.06
Ni (0.3661, 0.3661, 0.0158)  8 Y 2.81-3.07
Ru (0.0435, 0.6655, 0.6976)  6 Y 2.78-2.99
Ru (0.6655, 0.0435, 0.6976)  6 Y 2.78-2.99

> What is the M_tot in the second record?

0.000 μB per formula unit